13
Lattice="-4.983 -0.685 1.339 -0.971 -2.020 6.332 -2.824 5.815 2.583" Properties=species:S:1:pos:R:3 comment="TmZn11Os, optimized geometry, DFT GGA-PBE" e_form_mev_per_atom=-121 sg="No. 12" pbc="T T T"
Zn -3.904 2.565 1.961
Zn -7.050 2.420 5.246
Zn -3.838 -0.660 6.200
Zn -4.940 3.770 4.053
Zn -0.485 -1.010 3.166
Zn -1.412 2.908 1.291
Zn -4.456 0.860 3.986
Zn -6.518 2.474 7.950
Zn -2.261 0.636 2.304
Zn -1.728 0.691 5.007
Zn -4.322 2.250 6.268
Os -2.977 -1.353 3.836
Tm 0.000 0.000 0.000


11
Lattice="6.786 0.000 2.024 3.393 6.135 1.012 -0.135 0.000 8.731" Properties=species:S:1:pos:R:3 comment="Cs2Bi3S6, optimized geometry, DFT GGA-PBE" raw_formation_energy_ev_per_fu=-6.57 sg="No. 12" pbc="T T T"
S 4.831 4.083 8.579
S 1.804 0.000 2.178
S 4.847 0.000 8.576
S 1.438 2.052 7.567
S 8.606 4.083 4.199
S 5.213 2.052 3.187
Cs 3.325 4.091 5.377
Cs 6.719 2.043 6.389
Bi 0.000 0.000 0.000
Bi 3.393 2.050 1.012
Bi 6.786 4.084 2.024


Ordered total energy results: -31.28 -44.68; unit eV per cell.